Compound: Ac2InNiO6
Source: Alexandria
Functional: GGA+U
Structure: optimized geometry

Cell: 5.781 5.795 8.305 Å, 90.00 88.99 90.00°
Each line ends with the local moment (μB).
Positions (direct):
1 O 0.703 0.275 0.955  0.14
2 O 0.081 0.479 0.746  0.09
3 In 0.000 0.500 0.000  0.04
4 In 0.500 0.000 0.500  0.04
5 O 0.203 0.225 0.455  0.14
6 O 0.272 0.706 0.456  0.14
7 Ni 0.500 0.000 0.000  2.09
8 Ac 0.492 0.464 0.248  0.00
9 Ac 0.008 0.964 0.252  0.00
10 O 0.919 0.521 0.254  0.09
11 Ac 0.508 0.536 0.752  0.00
12 O 0.228 0.206 0.044  0.14
13 Ac 0.992 0.036 0.748  0.00
14 O 0.581 0.021 0.246  0.09
15 O 0.772 0.794 0.956  0.14
16 Ni 0.000 0.500 0.500  2.09
17 O 0.419 0.979 0.754  0.09
18 O 0.797 0.775 0.545  0.14
19 O 0.728 0.294 0.544  0.14
20 O 0.297 0.725 0.045  0.14

Values from the calculation:
* magnetization: 6.0 μB/cell
* SG: P2_1/c (14)
* E_tot: -131.11 eV for the cell shown